# 1
Pr2Ni4Sn3Sb PBE optimized geometry; energy relative to the elements, uncorrected = -546.5 meV per atom; symmetry = P-4m2
1.0
4.4957 0.0000 0.0000
0.0000 4.4957 0.0000
0.0000 0.0000 10.1009
Pr Ni Sn Sb
2 4 3 1
Cartesian
0.0000 2.2478 2.4157 Pr
2.2478 0.0000 7.6852 Pr
0.0000 0.0000 0.0000 Ni
0.0000 2.2478 6.2987 Ni
2.2478 0.0000 3.8022 Ni
2.2478 2.2478 0.0000 Ni
0.0000 2.2478 8.8392 Sn
2.2478 0.0000 1.2617 Sn
2.2478 2.2478 5.0505 Sn
0.0000 0.0000 5.0505 Sb

***

# 2
La5NiI5 PBE optimized geometry; energy relative to the elements, uncorrected = -1031.9 meV per atom; symmetry = C2/m
1.0
6.9367 -3.1819 0.0000
6.9367 3.1819 0.0000
-3.2545 0.0000 8.7333
La Ni I
5 1 5
Cartesian
0.0000 0.0000 0.0000 La
4.1008 0.0000 1.1718 La
2.6714 0.0000 6.4498 La
7.9475 0.0000 2.2835 La
6.5181 0.0000 7.5615 La
6.9367 0.0000 0.0000 Ni
-0.5628 0.0000 6.8977 I
1.2903 0.0000 3.1342 I
5.3095 0.0000 4.3666 I
9.3286 0.0000 5.5991 I
11.1817 0.0000 1.8356 I

***

These records have E_tot values of -5.43, -4.50 eV/atom, in the order they appear.